Compound: La8Sm5Y
Source: Alexandria
Functional: PBE-GGA
Structure: relaxed

The structure in POSCAR format:
```
La8Sm5Y
1.0
-4.951 4.951 5.195
4.951 -4.951 5.195
4.951 4.951 -5.195
La Sm Y
8 5 1
Direct
0.179 0.412 0.602
0.327 0.225 0.239
0.423 0.821 0.233
0.588 0.190 0.767
0.775 0.014 0.102
0.810 0.577 0.398
0.912 0.673 0.898
0.986 0.088 0.761
0.073 0.472 0.191
0.118 0.927 0.399
0.281 0.882 0.809
0.528 0.719 0.601
0.750 0.250 0.500
0.500 0.500 0.000
```

E_tot ... -4.73 eV/atom
Crystal system ... tetragonal
ΔH_f (0 K) ... 0.2304 eV per atom
Space-group type ... I-4

---

Compound: As2BrF
Source: Alexandria
Functional: PBE-GGA
Structure: relaxed

The structure in POSCAR format:
```
As2BrF
1.0
6.649 0.000 0.000
0.000 6.649 0.000
0.000 0.000 6.649
As Br F
8 4 4
Direct
0.250 0.250 0.250
0.250 0.250 0.750
0.250 0.750 0.250
0.250 0.750 0.750
0.750 0.250 0.250
0.750 0.250 0.750
0.750 0.750 0.250
0.750 0.750 0.750
0.000 0.000 0.000
0.000 0.500 0.500
0.500 0.000 0.500
0.500 0.500 0.000
0.000 0.000 0.500
0.000 0.500 0.000
0.500 0.000 0.000
0.500 0.500 0.500
```

Energy relative to the elements, uncorrected ... 0.252 eV per atom
E_tot ... -2.96 eV/atom
Crystal system ... cubic
Space-group type ... Fm-3m

---

Compound: PrDyRhCl
Source: Alexandria
Functional: PBE-GGA
Structure: relaxed

The structure in POSCAR format:
```
PrDyRhCl
1.0
4.006 0.000 0.000
-2.003 3.469 0.000
0.000 0.000 22.990
Pr Dy Rh Cl
3 3 3 3
Direct
0.000 0.000 0.000
0.333 0.667 0.667
0.667 0.333 0.333
0.000 0.000 0.199
0.333 0.667 0.866
0.667 0.333 0.532
0.000 0.000 0.596
0.333 0.667 0.262
0.667 0.333 0.929
0.000 0.000 0.771
0.333 0.667 0.437
0.667 0.333 0.104
```

Energy relative to the elements, uncorrected ... -1.154 eV per atom
E_tot ... -5.80 eV/atom
Crystal system ... trigonal
Space-group type ... R3m

---

Compound: CaPd3Ru
Source: Alexandria
Functional: PBE-GGA
Structure: relaxed

The structure in POSCAR format:
```
CaPd3Ru
1.0
4.855 0.000 0.000
0.000 4.855 0.000
0.000 0.000 4.855
Ca Pd Ru
1 3 1
Direct
0.000 0.000 0.000
0.000 0.500 0.500
0.500 0.000 0.500
0.500 0.500 0.000
0.500 0.500 0.500
```

E_tot ... -4.91 eV/atom
Crystal system ... cubic
ΔH_f (0 K) ... 0.4612 eV per atom
Space-group type ... Pm-3m

---

Compound: Rb2PaNi2S6
Source: Alexandria
Functional: PBE-GGA
Structure: relaxed

The structure in POSCAR format:
```
Rb2PaNi2S6
1.0
6.222 -3.597 0.000
6.222 3.597 0.000
-4.171 0.000 6.566
Rb Pa Ni S
2 1 2 6
Direct
0.236 0.236 0.210
0.764 0.764 0.790
0.000 0.000 0.500
0.432 0.432 0.795
0.568 0.568 0.205
0.247 0.247 0.740
0.247 0.748 0.741
0.252 0.753 0.259
0.748 0.247 0.741
0.753 0.252 0.259
0.753 0.753 0.260
```

Energy relative to the elements, uncorrected ... -0.834 eV per atom
E_tot ... -5.18 eV/atom
Crystal system ... monoclinic
Space-group type ... C2/m

---

Compound: AcLaAsPt
Source: Alexandria
Functional: PBE-GGA
Structure: relaxed

The structure in POSCAR format:
```
AcLaAsPt
1.0
7.538 0.000 0.000
0.000 7.538 0.000
0.000 0.000 7.538
Ac La As Pt
4 4 4 4
Direct
0.000 0.000 0.000
0.000 0.500 0.500
0.500 0.000 0.500
0.500 0.500 0.000
0.000 0.000 0.500
0.000 0.500 0.000
0.500 0.000 0.000
0.500 0.500 0.500
0.250 0.250 0.750
0.250 0.750 0.250
0.750 0.250 0.250
0.750 0.750 0.750
0.250 0.250 0.250
0.250 0.750 0.750
0.750 0.250 0.750
0.750 0.750 0.250
```

E_tot ... -5.97 eV/atom
Crystal system ... cubic
ΔH_f (0 K) ... -1.0375 eV per atom
Space-group type ... F-43m

---

Compound: ScZn2Pd2
Source: Alexandria
Functional: PBE-GGA
Structure: relaxed

The structure in POSCAR format:
```
ScZn2Pd2
1.0
3.608 0.000 0.000
0.000 3.608 0.000
0.000 0.000 13.120
Sc Zn Pd
2 4 4
Direct
0.000 0.000 0.000
0.500 0.500 0.500
0.000 0.500 0.250
0.000 0.500 0.750
0.500 0.000 0.250
0.500 0.000 0.750
0.000 0.000 0.397
0.000 0.000 0.603
0.500 0.500 0.103
0.500 0.500 0.897
```

E_tot ... -4.39 eV/atom
Crystal system ... tetragonal
ΔH_f (0 K) ... -0.5395 eV per atom
Space-group type ... I4/mmm

---

Compound: TiFeOs3
Source: Alexandria
Functional: PBE-GGA
Structure: relaxed

The structure in POSCAR format:
```
TiFeOs3
1.0
4.467 0.000 0.000
0.000 4.467 0.000
0.000 0.000 4.467
Ti Fe Os
1 1 3
Direct
0.000 0.000 0.000
0.500 0.500 0.500
0.000 0.000 0.500
0.000 0.500 0.000
0.500 0.000 0.000
```

E_tot ... -7.85 eV/atom
Crystal system ... cubic
ΔH_f (0 K) ... 2.1601 eV per atom
Space-group type ... Pm-3m

---

Among the records above, which one has the lowest E_tot?
TiFeOs3

---

The lowest E_tot belongs to which entry?
TiFeOs3

---

Which of these has the lowest E_tot?
TiFeOs3

---

E_tot of number 1 (La8Sm5Y)?
-4.73 eV/atom